(1)
! BeNiB (PBE, relaxed); values from VASP
! excess energy over the best structure of this formula in the dataset: 123 meV/atom
! calculated total energy: -16.26 eV/cell
! ΔE_f: -0.03 eV/atom
&SYSTEM
  ibrav = 0, nat = 3, ntyp = 3
/
ATOMIC_SPECIES
Ni 58.69 Ni.upf
B 10.81 B.upf
Be 9.01 Be.upf
ATOMIC_POSITIONS angstrom
Ni -0.9341 1.3288 1.9278
B -0.3519 0.1999 0.0284
Be -0.8602 -0.9251 1.5352
CELL_PARAMETERS angstrom
-2.0849 1.1844 0.1685
-1.4840 -2.7827 1.1990
1.4226 2.2019 2.1240

***

(2)
! BeNiB2 (PBE, relaxed); values from VASP
! calculated total energy: -40.00 eV/cell
! ΔE_f: 0.72 eV/atom
&SYSTEM
  ibrav = 0, nat = 8, ntyp = 3
/
ATOMIC_SPECIES
Ni 58.69 Ni.upf
B 10.81 B.upf
Be 9.01 Be.upf
ATOMIC_POSITIONS angstrom
Ni 0.0000 0.0000 0.0000
Ni -2.5910 -1.9500 5.6368
B -2.1127 -0.7565 4.0010
B -0.6606 -4.0338 2.0348
B -1.4626 -3.5561 4.9467
B -3.2622 -5.9980 7.6878
Be -1.7975 -2.4083 2.7364
Be -1.1580 -5.2222 3.6983
CELL_PARAMETERS angstrom
-3.2305 0.8639 4.6749
-0.3645 -5.6805 0.7979
-0.1540 -2.3556 3.8624